<i>
VASP calculation (PBE) on a geometry-optimized TeN structure.

Summary:
Calculated volume, Å³/f.u.: 40.3
Total magnetization, μB per formula unit: 0.00

Unit cell a=10.196 b=10.196 c=3.105 alpha=90.00 beta=90.00 gamma=90.00
Atoms (fractional coordinates):
Te 0.554 0.761 0.000
N 0.873 0.349 0.500
Te 0.761 0.446 0.000
N 0.651 0.873 0.500
N 0.849 0.627 0.000
N 0.627 0.151 0.000
Te 0.261 0.946 0.500
N 0.127 0.651 0.500
Te 0.739 0.054 0.500
Te 0.239 0.554 0.000
N 0.151 0.373 0.000
Te 0.446 0.239 0.000
N 0.349 0.127 0.500
N 0.373 0.849 0.000
Te 0.946 0.739 0.500
Te 0.054 0.261 0.500

=====

<ii>
VASP calculation (PBE) on a geometry-optimized TeN structure.

Summary:
Calculated volume, Å³/f.u.: 42.8
Total magnetization, μB per formula unit: 0.00

Unit cell a=9.110 b=9.110 c=4.123 alpha=90.00 beta=90.00 gamma=90.00
Atoms (fractional coordinates):
Te 0.212 0.563 0.500
Te 0.712 0.063 0.000
N 0.353 0.877 0.500
N 0.853 0.377 0.000
Te 0.788 0.437 0.500
N 0.623 0.853 0.000
N 0.877 0.647 0.500
Te 0.437 0.212 0.500
Te 0.063 0.288 0.000
N 0.647 0.123 0.500
Te 0.937 0.712 0.000
Te 0.288 0.937 0.000
N 0.123 0.353 0.500
N 0.377 0.147 0.000
Te 0.563 0.788 0.500
N 0.147 0.623 0.000

=====

Which structure is the most stable? The one labeled <i>.

=====

<i>
VASP calculation (PBE) on a geometry-optimized TeN structure.

Summary:
Calculated volume, Å³/f.u.: 46.9
Total magnetization, μB per formula unit: 0.00

Unit cell a=7.329 b=5.986 c=8.560 alpha=90.00 beta=90.00 gamma=90.00
Atoms (fractional coordinates):
N 0.929 0.527 0.707
Te 0.311 0.171 0.874
N 0.700 0.210 0.926
N 0.429 0.973 0.293
N 0.071 0.027 0.793
Te 0.833 0.190 0.730
N 0.800 0.790 0.426
Te 0.333 0.310 0.270
N 0.200 0.290 0.074
N 0.571 0.473 0.207
N 0.300 0.710 0.574
Te 0.811 0.329 0.126
Te 0.667 0.810 0.230
Te 0.689 0.671 0.626
Te 0.189 0.829 0.374
Te 0.167 0.690 0.770

=====

<ii>
VASP calculation (PBE) on a geometry-optimized TeN structure.

Summary:
Calculated volume, Å³/f.u.: 45.7
Total magnetization, μB per formula unit: 0.00

Unit cell a=4.186 b=6.969 c=11.653 alpha=16.98 beta=110.59 gamma=106.77
Atoms (fractional coordinates):
N 0.326 0.753 0.698
Te 0.143 0.549 0.121
N 0.674 0.247 0.302
Te 0.857 0.451 0.879

=====

<iii>
VASP calculation (PBE) on a geometry-optimized TeN structure.

Summary:
Calculated volume, Å³/f.u.: 48.9
Total magnetization, μB per formula unit: 0.00

Unit cell a=6.645 b=6.645 c=6.645 alpha=90.00 beta=90.00 gamma=90.00
Atoms (fractional coordinates):
N 0.000 0.500 0.750
Te 0.000 0.250 0.500
Te 0.000 0.750 0.500
Te 0.750 0.500 0.000
N 0.750 0.000 0.500
N 0.500 0.250 0.000
N 0.250 0.000 0.500
Te 0.500 0.000 0.250
N 0.500 0.750 0.000
Te 0.250 0.500 0.000
Te 0.500 0.000 0.750
N 0.000 0.500 0.250

=====

Which structure is the most stable? The one labeled <ii>.

=====

<i>
VASP calculation (PBE) on a geometry-optimized TeN2 structure.

Summary:
Calculated volume, Å³/f.u.: 81.7
Total magnetization, μB per formula unit: 0.00

Unit cell a=3.063 b=3.064 c=11.955 alpha=119.37 beta=118.51 gamma=90.13
Atoms (fractional coordinates):
N 0.033 0.187 0.461
Te 0.399 0.566 0.897
N 0.777 0.933 0.333

=====

<ii>
VASP calculation (PBE) on a geometry-optimized TeN2 structure.

Summary:
Calculated volume, Å³/f.u.: 41.3
Total magnetization, μB per formula unit: 0.00

Unit cell a=5.829 b=5.829 c=4.032 alpha=69.80 beta=69.80 gamma=40.47
Atoms (fractional coordinates):
N 0.174 0.174 0.077
Te 0.375 0.375 0.875
Te 0.625 0.625 0.125
N 0.576 0.576 0.674
N 0.424 0.424 0.326
N 0.826 0.826 0.923

=====

<iii>
VASP calculation (PBE) on a geometry-optimized TeN2 structure.

Summary:
Calculated volume, Å³/f.u.: 36.7
Total magnetization, μB per formula unit: 0.00

Unit cell a=3.729 b=3.729 c=3.729 alpha=60.00 beta=60.00 gamma=60.00
Atoms (fractional coordinates):
N 0.250 0.250 0.250
Te 0.000 0.000 0.000
N 0.750 0.750 0.750

=====

Which structure is the most stable? The one labeled <i>.

=====

<i>
VASP calculation (PBE) on a geometry-optimized TeN4 structure.

Summary:
Calculated volume, Å³/f.u.: 158.3
Total magnetization, μB per formula unit: 0.33

Unit cell a=8.842 b=10.149 c=2.934 alpha=124.18 beta=108.31 gamma=47.02
Atoms (fractional coordinates):
N 0.287 0.287 0.596
N 0.360 0.360 0.809
N 0.640 0.640 0.191
Te 0.000 0.000 0.000
N 0.713 0.713 0.404

=====

<ii>
VASP calculation (PBE) on a geometry-optimized TeN4 structure.

Summary:
Calculated volume, Å³/f.u.: 67.5
Total magnetization, μB per formula unit: 5.21

Unit cell a=4.071 b=4.071 c=4.071 alpha=90.00 beta=90.00 gamma=90.00
Atoms (fractional coordinates):
N 0.500 0.000 0.500
N 0.000 0.500 0.500
N 0.000 0.000 0.000
N 0.500 0.500 0.000
Te 0.500 0.500 0.500

=====

Which structure is the most stable? The one labeled <i>.